Model A:
BeAu4: relaxed, GGA-PBE.

a b c (Å): 6.8423 6.8423 6.8423
angles (deg): 133.57 133.57 67.76
Positions (direct):
Be (0.3750, 0.1250, 0.2500)
Be (0.6250, 0.8750, 0.7500)
Au (0.0583, 0.1874, 0.3424)
Au (0.2159, 0.5583, 0.3710)
Au (0.3126, 0.1550, 0.8710)
Au (0.3450, 0.7159, 0.1576)
Au (0.6550, 0.2841, 0.8424)
Au (0.6874, 0.8450, 0.1290)
Au (0.7841, 0.4417, 0.6290)
Au (0.9417, 0.8126, 0.6576)

The magnetization is 0.0 μB per formula unit. The density of states at the Fermi level is 3.378 states/eV/cell.

Model B:
BeAu4: relaxed, GGA-PBE.

a b c (Å): 4.4410 4.4410 4.4410
angles (deg): 90.00 90.00 90.00
Positions (direct):
Be (0.0000, 0.0000, 0.0000)
Au (0.0000, 0.0000, 0.5000)
Au (0.0000, 0.5000, 0.0000)
Au (0.5000, 0.0000, 0.0000)
Au (0.5000, 0.5000, 0.5000)

The magnetization is 0.0 μB per formula unit. The density of states at the Fermi level is 1.693 states/eV/cell.

Model C:
BeAu4: relaxed, GGA-PBE.

a b c (Å): 4.8785 4.8785 4.8785
angles (deg): 109.47 109.47 109.47
Positions (direct):
Be (0.0000, 0.0000, 0.0000)
Au (0.0000, 0.0000, 0.5000)
Au (0.0000, 0.5000, 0.0000)
Au (0.5000, 0.0000, 0.0000)
Au (0.5000, 0.5000, 0.5000)

The magnetization is 0.0 μB per formula unit. The density of states at the Fermi level is 2.408 states/eV/cell.

Model D:
BeAu4: relaxed, GGA-PBE.

a b c (Å): 5.5244 5.5244 5.5244
angles (deg): 93.82 93.82 150.10
Positions (direct):
Be (0.0000, 0.0000, 0.0000)
Au (0.2349, 0.4302, 0.6651)
Au (0.4302, 0.7651, 0.1954)
Au (0.5698, 0.2349, 0.8046)
Au (0.7651, 0.5698, 0.3349)

The magnetization is 0.0 μB per formula unit. The density of states at the Fermi level is 1.121 states/eV/cell.

Relative energies with respect to the most stable structure, expressed in kJ/mol of atoms: model A 1.5; model B 29.4; model C 8.4; model D 0.0.

Model A:
BeAu2: relaxed, GGA-PBE.

a b c (Å): 5.5557 5.5557 6.9465
angles (deg): 124.77 124.77 31.06
Positions (direct):
Be (0.1201, 0.1201, 0.1873)
Be (0.8799, 0.8799, 0.8127)
Au (0.1573, 0.1573, 0.5674)
Au (0.4044, 0.4044, 0.1128)
Au (0.5956, 0.5956, 0.8872)
Au (0.8427, 0.8427, 0.4326)

The magnetization is 0.0 μB per formula unit. The density of states at the Fermi level is 1.624 states/eV/cell.

Model B:
BeAu2: relaxed, GGA-PBE.

a b c (Å): 4.2687 4.2687 5.7200
angles (deg): 90.00 90.00 120.00
Positions (direct):
Be (0.3333, 0.6667, 0.2500)
Be (0.6667, 0.3333, 0.7500)
Au (0.0000, 0.0000, 0.0000)
Au (0.0000, 0.0000, 0.5000)
Au (0.3333, 0.6667, 0.7500)
Au (0.6667, 0.3333, 0.2500)

The magnetization is 0.0 μB per formula unit. The density of states at the Fermi level is 1.554 states/eV/cell.

Relative energies with respect to the most stable structure, expressed in kJ/mol of atoms: model A 0.0; model B 8.9.

Model A:
Be5Au6: relaxed, GGA-PBE.

a b c (Å): 7.1507 7.1507 4.1345
angles (deg): 105.87 105.87 49.14
Positions (direct):
Be (0.0000, 0.0000, 0.0000)
Be (0.1654, 0.1654, 0.6642)
Be (0.3281, 0.3281, 0.3312)
Be (0.6719, 0.6719, 0.6688)
Be (0.8346, 0.8346, 0.3358)
Au (0.0899, 0.5831, 0.8390)
Au (0.2545, 0.7455, 0.5000)
Au (0.4169, 0.9101, 0.1610)
Au (0.5831, 0.0899, 0.8390)
Au (0.7455, 0.2545, 0.5000)
Au (0.9101, 0.4169, 0.1610)

The magnetization is 0.0 μB per formula unit. The density of states at the Fermi level is 2.702 states/eV/cell.

Model B:
Be5Au6: relaxed, GGA-PBE.

a b c (Å): 5.7384 5.7384 5.1918
angles (deg): 99.14 99.14 109.92
Positions (direct):
Be (0.0000, 0.0000, 0.0000)
Be (0.1250, 0.8750, 0.5000)
Be (0.2665, 0.7335, 0.0000)
Be (0.7335, 0.2665, 0.0000)
Be (0.8750, 0.1250, 0.5000)
Au (0.1426, 0.4522, 0.2996)
Au (0.2940, 0.2940, 0.8010)
Au (0.4522, 0.1426, 0.2996)
Au (0.5478, 0.8574, 0.7004)
Au (0.7060, 0.7060, 0.1990)
Au (0.8574, 0.5478, 0.7004)

The magnetization is 0.0 μB per formula unit. The density of states at the Fermi level is 2.663 states/eV/cell.

Relative energies with respect to the most stable structure, expressed in kJ/mol of atoms: model A 0.0; model B 8.2.

Model A:
Be4Au3: relaxed, GGA-PBE.

a b c (Å): 9.9110 9.9110 9.9110
angles (deg): 162.55 162.55 24.78
Positions (direct):
Be (0.0684, 0.0684, 0.0000)
Be (0.3698, 0.3698, 0.0000)
Be (0.6302, 0.6302, 0.0000)
Be (0.9316, 0.9316, 0.0000)
Au (0.1922, 0.1922, 0.0000)
Au (0.5000, 0.5000, 0.0000)
Au (0.8078, 0.8078, 0.0000)

The magnetization is 0.0 μB per formula unit. The density of states at the Fermi level is 1.877 states/eV/cell.

Model B:
Be4Au3: relaxed, GGA-PBE.

a b c (Å): 5.3467 5.3467 4.0882
angles (deg): 90.00 90.00 120.00
Positions (direct):
Be (0.0000, 0.0000, 0.2472)
Be (0.0000, 0.0000, 0.7528)
Be (0.3333, 0.6667, 0.0000)
Be (0.6667, 0.3333, 0.0000)
Au (0.0000, 0.5000, 0.5000)
Au (0.5000, 0.0000, 0.5000)
Au (0.5000, 0.5000, 0.5000)

The magnetization is 0.0 μB per formula unit. The density of states at the Fermi level is 1.646 states/eV/cell.

Relative energies with respect to the most stable structure, expressed in kJ/mol of atoms: model A 0.0; model B 47.4.

Model A:
Be3BiAu: relaxed, GGA-PBE.

a b c (Å): 4.7560 4.7560 4.7560
angles (deg): 90.00 90.00 90.00
Positions (direct):
Be (0.0000, 0.0000, 0.5000)
Be (0.0000, 0.5000, 0.0000)
Be (0.5000, 0.0000, 0.0000)
Bi (0.0000, 0.0000, 0.0000)
Au (0.5000, 0.5000, 0.5000)

The magnetization is 0.0 μB per formula unit. The density of states at the Fermi level is 3.574 states/eV/cell.

Model B:
Be3BiAu: relaxed, GGA-PBE.

a b c (Å): 4.4629 4.4629 4.4629
angles (deg): 90.00 90.00 90.00
Positions (direct):
Be (0.0000, 0.0000, 0.5000)
Be (0.0000, 0.5000, 0.0000)
Be (0.5000, 0.0000, 0.0000)
Bi (0.5000, 0.5000, 0.5000)
Au (0.0000, 0.0000, 0.0000)

The magnetization is 0.0 μB per formula unit. The density of states at the Fermi level is 1.945 states/eV/cell.

Relative energies with respect to the most stable structure, expressed in kJ/mol of atoms: model A 89.6; model B 0.0.

Model A:
BeBiAu4: relaxed, GGA-PBE.

a b c (Å): 7.3131 7.3131 5.8835
angles (deg): 103.57 103.57 49.45
Positions (direct):
Be (0.0138, 0.0138, 0.3207)
Be (0.9862, 0.9862, 0.6793)
Bi (0.3036, 0.3036, 0.8691)
Bi (0.6964, 0.6964, 0.1309)
Au (0.1545, 0.6241, 0.4003)
Au (0.1946, 0.1946, 0.2632)
Au (0.2435, 0.7565, 0.0000)
Au (0.3759, 0.8455, 0.5997)
Au (0.6241, 0.1545, 0.4003)
Au (0.7565, 0.2435, 0.0000)
Au (0.8054, 0.8054, 0.7368)
Au (0.8455, 0.3759, 0.5997)

The magnetization is 0.0 μB per formula unit. The density of states at the Fermi level is 3.654 states/eV/cell.

Model B:
BeBiAu4: relaxed, GGA-PBE.

a b c (Å): 4.0447 4.0447 7.5100
angles (deg): 90.00 90.00 90.00
Positions (direct):
Be (0.0000, 0.0000, 0.0000)
Bi (0.5000, 0.5000, 0.5000)
Au (0.0000, 0.5000, 0.1918)
Au (0.0000, 0.5000, 0.8082)
Au (0.5000, 0.0000, 0.1918)
Au (0.5000, 0.0000, 0.8082)

The magnetization is 0.0 μB per formula unit. The density of states at the Fermi level is 2.266 states/eV/cell.

Relative energies with respect to the most stable structure, expressed in kJ/mol of atoms: model A 0.0; model B 2.3.

Model A:
BeBiAu3: relaxed, GGA-PBE.

a b c (Å): 5.4182 5.4182 5.4182
angles (deg): 90.00 90.00 90.00
Positions (direct):
Be (0.0000, 0.0000, 0.0000)
Bi (0.5000, 0.5000, 0.5000)
Au (0.0000, 0.5000, 0.5000)
Au (0.5000, 0.0000, 0.5000)
Au (0.5000, 0.5000, 0.0000)

The magnetization is 0.0 μB per formula unit. The density of states at the Fermi level is 1.374 states/eV/cell.

Model B:
BeBiAu3: relaxed, GGA-PBE.

a b c (Å): 4.6023 4.6023 4.6023
angles (deg): 90.00 90.00 90.00
Positions (direct):
Be (0.0000, 0.0000, 0.0000)
Bi (0.5000, 0.5000, 0.5000)
Au (0.0000, 0.0000, 0.5000)
Au (0.0000, 0.5000, 0.0000)
Au (0.5000, 0.0000, 0.0000)

The magnetization is 0.0 μB per formula unit. The density of states at the Fermi level is 1.530 states/eV/cell.

Relative energies with respect to the most stable structure, expressed in kJ/mol of atoms: model A 98.0; model B 0.0.

Model A:
Be2Bi2Au: relaxed, GGA-PBE.

a b c (Å): 8.8954 8.8954 8.8954
angles (deg): 157.48 157.48 32.06
Positions (direct):
Be (0.2500, 0.7500, 0.5000)
Be (0.7500, 0.2500, 0.5000)
Bi (0.1250, 0.1250, 0.0000)
Bi (0.8750, 0.8750, 0.0000)
Au (0.5000, 0.5000, 0.0000)

The magnetization is 0.0 μB per formula unit. The density of states at the Fermi level is 2.127 states/eV/cell.

Model B:
Be2Bi2Au: relaxed, GGA-PBE.

a b c (Å): 8.1948 8.1948 3.3000
angles (deg): 90.00 90.00 90.00
Positions (direct):
Be (0.0913, 0.4087, 0.0000)
Be (0.4087, 0.9087, 0.0000)
Be (0.5913, 0.0913, 0.0000)
Be (0.9087, 0.5913, 0.0000)
Bi (0.2178, 0.7178, 0.5000)
Bi (0.2822, 0.2178, 0.5000)
Bi (0.7178, 0.7822, 0.5000)
Bi (0.7822, 0.2822, 0.5000)
Au (0.0000, 0.0000, 0.5000)
Au (0.5000, 0.5000, 0.5000)

The magnetization is 0.0 μB per formula unit. The density of states at the Fermi level is 4.017 states/eV/cell.

Relative energies with respect to the most stable structure, expressed in kJ/mol of atoms: model A 0.0; model B 18.1.